# VHgS2O8 | Alexandria via LeMat-Bulk | PBE+U | relaxed
data_VHgS2O8
_chemical_formula_sum 'V3 Hg3 S6 O24'
_cell_length_a 4.8624
_cell_length_b 4.8624
_cell_length_c 24.9110
_cell_angle_alpha 90.00
_cell_angle_beta 90.00
_cell_angle_gamma 120.00
_symmetry_space_group_name_H-M 'R -3'
_symmetry_Int_Tables_number 148
_symmetry_space_group_name_Hall '-R 3'
loop_
_atom_site_label
_atom_site_type_symbol
_atom_site_fract_x
_atom_site_fract_y
_atom_site_fract_z
V1 V 0.0000 0.0000 0.0000
Hg1 Hg 0.0000 0.0000 0.5000
S1 S 0.0000 0.0000 0.2642
O1 O 0.0000 0.0000 0.2048
O2 O 0.0285 0.3954 0.3823
# Total energy = -5.962 eV per atom
# Total moment = 5.06 μB/cell